Record 1
Density functional theory data (GGA-PBE) for a relaxed structure of Ce2Ge3Pt4Rh.

Structure (POSCAR):
```
Ce2Ge3Pt4Rh
1.0
4.0702 0.0000 0.0000
0.0000 4.0702 0.0000
0.0000 0.0000 11.4311
Ce Ge Pt Rh
2 3 4 1
direct
0.0000 0.5000 0.2359
0.5000 0.0000 0.7641
0.0000 0.0000 0.0000
0.0000 0.5000 0.6302
0.5000 0.0000 0.3698
0.0000 0.0000 0.5000
0.0000 0.5000 0.8418
0.5000 0.0000 0.1582
0.5000 0.5000 0.5000
0.5000 0.5000 0.0000
```

Summary:
ΔE_f in eV/f.u.: -8.1
VASP energy in eV/atom: -6.535
Fermi-level density of states in states/eV per atom: 1.114
V in Å³/f.u.: 189.4
Symmetry: No. 115



Record 2
Density functional theory data (GGA-PBE) for a relaxed structure of Ce2Ge6RuPt.

Structure (POSCAR):
```
Ce2Ge6RuPt
1.0
6.3766 0.0000 0.0000
0.0000 8.3894 0.0000
0.0000 0.0000 8.0340
Ce Ge Ru Pt
4 12 2 2
direct
0.2500 0.0061 0.2309
0.2500 0.4939 0.2309
0.7500 0.5061 0.7691
0.7500 0.9939 0.7691
0.0298 0.7500 0.9747
0.0609 0.2500 0.5495
0.2500 0.5386 0.8186
0.2500 0.9614 0.8186
0.4391 0.2500 0.5495
0.4702 0.7500 0.9747
0.5298 0.2500 0.0253
0.5609 0.7500 0.4505
0.7500 0.0386 0.1814
0.7500 0.4614 0.1814
0.9391 0.7500 0.4505
0.9702 0.2500 0.0253
0.2500 0.2500 0.8189
0.7500 0.7500 0.1811
0.2500 0.7500 0.6030
0.7500 0.2500 0.3970
```

Summary:
ΔE_f in eV/f.u.: -3.8
VASP energy in eV/atom: -5.866
Fermi-level density of states in states/eV per atom: 1.420
V in Å³/f.u.: 214.9
Symmetry: No. 59



Record 3
Density functional theory data (GGA-PBE) for a relaxed structure of Ce4GePtS2.

Structure (POSCAR):
```
Ce4GePtS2
1.0
7.1769 0.0000 0.0000
0.0000 4.0855 0.0000
-2.3411 0.0000 6.7954
Ce Ge Pt S
4 1 1 2
direct
0.2446 0.0000 0.2416
0.2491 0.5000 0.7547
0.7509 0.5000 0.2453
0.7554 0.0000 0.7584
0.5000 0.5000 0.5000
0.0000 0.0000 0.5000
0.0000 0.5000 0.0000
0.5000 0.0000 0.0000
```

Summary:
Formation energy (no corrections) in meV/atom: -1377
VASP energy in eV/atom: -6.708
Fermi-level density of states in states/eV per atom: 2.694
V in Å³/f.u.: 199.3
Symmetry: No. 10



Record 4
Density functional theory data (GGA-PBE) for a relaxed structure of Ce2ScGe3Pt4.

Structure (POSCAR):
```
Ce2ScGe3Pt4
1.0
4.2136 0.0000 0.0000
0.0000 4.2136 0.0000
0.0000 0.0000 11.1191
Ce Sc Ge Pt
2 1 3 4
direct
0.0000 0.5000 0.2335
0.5000 0.0000 0.7665
0.0000 0.0000 0.5000
0.0000 0.5000 0.8702
0.5000 0.0000 0.1298
0.5000 0.5000 0.5000
0.0000 0.0000 0.0000
0.0000 0.5000 0.6476
0.5000 0.0000 0.3524
0.5000 0.5000 0.0000
```

Summary:
ΔE_f in eV/f.u.: -9.6
VASP energy in eV/atom: -6.581
Fermi-level density of states in states/eV per atom: 1.603
V in Å³/f.u.: 197.4
Symmetry: No. 115



Please write out number 2 again, unchanged.
Density functional theory data (GGA-PBE) for a relaxed structure of Ce2Ge6RuPt.

Structure (POSCAR):
```
Ce2Ge6RuPt
1.0
6.3766 0.0000 0.0000
0.0000 8.3894 0.0000
0.0000 0.0000 8.0340
Ce Ge Ru Pt
4 12 2 2
direct
0.2500 0.0061 0.2309
0.2500 0.4939 0.2309
0.7500 0.5061 0.7691
0.7500 0.9939 0.7691
0.0298 0.7500 0.9747
0.0609 0.2500 0.5495
0.2500 0.5386 0.8186
0.2500 0.9614 0.8186
0.4391 0.2500 0.5495
0.4702 0.7500 0.9747
0.5298 0.2500 0.0253
0.5609 0.7500 0.4505
0.7500 0.0386 0.1814
0.7500 0.4614 0.1814
0.9391 0.7500 0.4505
0.9702 0.2500 0.0253
0.2500 0.2500 0.8189
0.7500 0.7500 0.1811
0.2500 0.7500 0.6030
0.7500 0.2500 0.3970
```

Summary:
ΔE_f in eV/f.u.: -3.8
VASP energy in eV/atom: -5.866
Fermi-level density of states in states/eV per atom: 1.420
V in Å³/f.u.: 214.9
Symmetry: No. 59



Which of these has the lowest VASP energy? Ce4GePtS2